Entry 1:
The following is a PBE calculation of a geometry-optimized PmSb4Pd12 structure, from Alexandria.

Calculated values
Its density of states at the Fermi level is 7.6 states/eV per cell. The crystal system is cubic. For the energy relative to the elements, uncorrected, the calculation gives -15.9 kJ/mol of atoms. Its calculated volume is 712 Å³/cell. As for the magnetization: 0.0 Bohr magnetons per cell.

abc: 8.928 8.928 8.928
angles: 90.00 90.00 90.00
Space group Im-3 (No. 204)
Symmetry-distinct sites (fractional):
Pm 0.000 0.000 0.000 (multiplicity 2)
Sb 0.250 0.250 0.250 (multiplicity 8)
Pd 0.000 0.349 0.153 (multiplicity 24)

***

Entry 2:
The following is a PBE calculation of a geometry-optimized RbTaSn3 structure, from Alexandria.

Calculated values
Its density of states at the Fermi level is 1.5 states/eV per cell. As for the distance to the lowest polymorph of the same formula: 0 meV per atom. The crystal system is cubic. Its calculated volume is 163 Å³/cell. The formation energy from the elements comes out at 0.042 eV/atom. As for the magnetization: 0.0 Bohr magnetons per cell.

abc: 5.467 5.467 5.467
angles: 90.00 90.00 90.00
Space group Pm-3m (No. 221)
Symmetry-distinct sites (fractional):
Rb 0.000 0.000 0.000 (multiplicity 1)
Ta 0.500 0.500 0.500 (multiplicity 1)
Sn 0.000 0.500 0.500 (multiplicity 3)

***

Entry 3:
The following is a PBE calculation of a geometry-optimized BC2 structure, from Alexandria.

Calculated values
Its density of states at the Fermi level is 2.5 states/eV per cell. As for the distance to the lowest polymorph of the same formula: 69 meV per atom. The crystal system is trigonal. Its calculated volume is 76 Å³/cell. The formation energy from the elements comes out at 0.309 eV/atom. As for the magnetization: 0.0 Bohr magnetons per cell.

abc: 2.5589 2.5589 13.3818
angles: 90.00 90.00 120.00
Space group P3m1 (No. 156)
Symmetry-distinct sites (fractional):
B 0.0000 0.0000 0.0000 (multiplicity 1)
B 0.0000 0.0000 0.3995 (multiplicity 1)
B 0.3333 0.6667 0.5650 (multiplicity 1)
B 0.6667 0.3333 0.3211 (multiplicity 1)
C 0.0000 0.0000 0.5140 (multiplicity 1)
C 0.0000 0.0000 0.8777 (multiplicity 1)
C 0.3333 0.6667 0.0498 (multiplicity 1)
C 0.3333 0.6667 0.1627 (multiplicity 1)
C 0.3333 0.6667 0.6869 (multiplicity 1)
C 0.6667 0.3333 0.2029 (multiplicity 1)
C 0.6667 0.3333 0.7223 (multiplicity 1)
C 0.6667 0.3333 0.8424 (multiplicity 1)

***

Entry 4:
The following is a PBE calculation of a geometry-optimized Ba2Li17Ag3 structure, from Alexandria.

Calculated values
Its density of states at the Fermi level is 34.9 states/eV per cell. The crystal system is trigonal. Its calculated volume is 1639 Å³/cell. The formation energy from the elements comes out at 0.000 eV/atom. As for the magnetization: 0.0 Bohr magnetons per cell.

abc: 11.0406 11.0406 15.5298
angles: 90.00 90.00 120.00
Space group R-3m (No. 166, hexagonal axes)
Symmetry-distinct sites (fractional):
Ba 0.0000 0.0000 0.1662 (multiplicity 6)
Li 0.0000 0.0000 0.4089 (multiplicity 6)
Li 0.0000 0.2624 0.5000 (multiplicity 18)
Li 0.0000 0.5000 0.0000 (multiplicity 9)
Li 0.0028 0.5014 0.3299 (multiplicity 18)
Ag 0.0000 0.5000 0.5000 (multiplicity 9)

***

Entry 5:
The following is a PBE calculation of a geometry-optimized LaPm2Rh structure, from Alexandria.

Calculated values
Its density of states at the Fermi level is 15.4 states/eV per cell. As for the distance to the lowest polymorph of the same formula: 88 meV per atom. The crystal system is orthorhombic. Its calculated volume is 520 Å³/cell. The formation energy from the elements comes out at -0.364 eV/atom. As for the magnetization: 0.0 Bohr magnetons per cell.

abc: 6.854 6.525 11.637
angles: 90.00 90.00 90.00
Space group Pnna (No. 52)
Symmetry-distinct sites (fractional):
La 0.064 0.250 0.250 (multiplicity 4)
Pm 0.090 0.244 0.582 (multiplicity 8)
Rh 0.250 0.000 0.089 (multiplicity 4)

***

Entry 6:
The following is a PBE calculation of a geometry-optimized LiScAu2 structure, from Alexandria.

Calculated values
Its density of states at the Fermi level is 12.8 states/eV per cell. As for the distance to the lowest polymorph of the same formula: 0 meV per atom. The crystal system is cubic. Its calculated volume is 285 Å³/cell. The formation energy from the elements comes out at -0.690 eV/atom. As for the magnetization: 0.0 Bohr magnetons per cell.

abc: 6.584 6.584 6.584
angles: 90.00 90.00 90.00
Space group Fm-3m (No. 225)
Symmetry-distinct sites (fractional):
Li 0.000 0.000 0.000 (multiplicity 4)
Sc 0.000 0.000 0.500 (multiplicity 4)
Au 0.250 0.250 0.250 (multiplicity 8)

***

Entry 7:
The following is a PBE calculation of a geometry-optimized CuTe2Pb structure, from Alexandria.

Calculated values
Its density of states at the Fermi level is 2.1 states/eV per cell. The crystal system is tetragonal. For the energy relative to the elements, uncorrected, the calculation gives 15.2 kJ/mol of atoms. Its calculated volume is 108 Å³/cell. As for the magnetization: 0.0 Bohr magnetons per cell.

abc: 3.330 3.330 9.753
angles: 90.00 90.00 90.00
Space group P4mm (No. 99)
Symmetry-distinct sites (fractional):
Cu 0.000 0.000 0.000 (multiplicity 1)
Te 0.000 0.000 0.488 (multiplicity 1)
Te 0.500 0.500 0.846 (multiplicity 1)
Pb 0.500 0.500 0.200 (multiplicity 1)

***

Entry 8:
The following is a PBE calculation of a geometry-optimized SrMn2Ir structure, from Alexandria.

Calculated values
Its density of states at the Fermi level is 3.1 states/eV per cell. The crystal system is orthorhombic. Its calculated volume is 77 Å³/cell. The formation energy from the elements comes out at 0.358 eV/atom. As for the magnetization: 6.9 Bohr magnetons per cell.

abc: 3.210 3.230 7.427
angles: 90.00 90.00 90.00
Space group Pmm2 (No. 25)
Symmetry-distinct sites (fractional):
Sr 0.000 0.000 0.000 (multiplicity 1)
Mn 0.000 0.000 0.463 (multiplicity 1)
Mn 0.500 0.500 0.659 (multiplicity 1)
Ir 0.500 0.500 0.302 (multiplicity 1)

***

Entry 9:
The following is a PBE calculation of a geometry-optimized PrNpN4 structure, from Alexandria.

Calculated values
Its density of states at the Fermi level is 6.2 states/eV per cell. The crystal system is tetragonal. For the energy relative to the elements, uncorrected, the calculation gives -55.8 kJ/mol of atoms. Its calculated volume is 85 Å³/cell. As for the magnetization: 2.2 Bohr magnetons per cell.

abc: 4.405 4.405 4.388
angles: 90.00 90.00 90.00
Space group P4/mmm (No. 123)
Symmetry-distinct sites (fractional):
Pr 0.000 0.000 0.000 (multiplicity 1)
Np 0.500 0.500 0.500 (multiplicity 1)
N 0.000 0.500 0.334 (multiplicity 4)

***

Entry 10:
The following is a PBE calculation of a geometry-optimized Cs3K5Au structure, from Alexandria.

Calculated values
Its density of states at the Fermi level is 6.0 states/eV per cell. The crystal system is hexagonal. Its calculated volume is 651 Å³/cell. The formation energy from the elements comes out at -0.042 eV/atom. As for the magnetization: 0.0 Bohr magnetons per cell.

abc: 11.7435 11.7435 5.4478
angles: 90.00 90.00 120.00
Space group P-62m (No. 189)
Symmetry-distinct sites (fractional):
Cs 0.0000 0.6447 0.0000 (multiplicity 3)
K 0.0000 0.2086 0.5000 (multiplicity 3)
K 0.3333 0.6667 0.5000 (multiplicity 2)
Au 0.0000 0.0000 0.0000 (multiplicity 1)

***

Entry 11:
The following is a PBE calculation of a geometry-optimized CrMoBr2 structure, from Alexandria.

Calculated values
Its density of states at the Fermi level is 2.4 states/eV per cell. As for the distance to the lowest polymorph of the same formula: 197 meV per atom. The crystal system is tetragonal. For the energy relative to the elements, uncorrected, the calculation gives 21.5 kJ/mol of atoms. Its calculated volume is 89 Å³/cell. As for the magnetization: 1.7 Bohr magnetons per cell.

abc: 3.331 3.331 7.996
angles: 90.00 90.00 90.00
Space group P4mm (No. 99)
Symmetry-distinct sites (fractional):
Cr 0.000 0.000 0.000 (multiplicity 1)
Mo 0.500 0.500 0.146 (multiplicity 1)
Br 0.000 0.000 0.378 (multiplicity 1)
Br 0.500 0.500 0.814 (multiplicity 1)

***

Entry 12:
The following is a PBE calculation of a geometry-optimized Dy3YTm6Sc2 structure, from Alexandria.

Calculated values
Its density of states at the Fermi level is 36.3 states/eV per cell. The crystal system is monoclinic. Its calculated volume is 710 Å³/cell. The formation energy from the elements comes out at 0.039 eV/atom. As for the magnetization: 0.0 Bohr magnetons per cell.

abc: 6.020 10.416 11.495
angles: 90.00 100.03 90.00
Space group C2/m (No. 12)
Symmetry-distinct sites (fractional):
Dy 0.000 0.000 0.000 (multiplicity 2)
Dy 0.000 0.333 0.000 (multiplicity 4)
Y 0.000 0.500 0.500 (multiplicity 2)
Tm 0.246 0.000 0.745 (multiplicity 4)
Tm 0.250 0.168 0.255 (multiplicity 8)
Sc 0.000 0.167 0.500 (multiplicity 4)